This record from Alexandria describes Zr4C2O after structural relaxation. The functional is PBE.

Unit cell a=12.362 b=3.291 c=5.715 alpha=90.00 beta=117.38 gamma=90.00
Space group C2/m (No. 12)
Unique sites:
Zr 0.131 0.000 0.306 (multiplicity 4)
Zr 0.133 0.500 0.794 (multiplicity 4)
C 0.242 0.500 0.242 (multiplicity 4)
O 0.000 0.000 0.500 (multiplicity 2)

- D(E_F) (states/eV/f.u.) = 2.20
- total DFT energy (no corrections) (eV/cell) = -132.704
- energy relative to the elements, uncorrected (meV/atom) = -1251